Version A
# La4Sm2Tm3 PBE-GGA optimized geometry
# Total moment, μB per atom: 0.000
data_La4Sm2Tm3
_chemical_formula_sum 'La4 Sm2 Tm3'
_symmetry_space_group_name_H-M 'P 1'
_symmetry_Int_Tables_number 1
_cell_length_a 3.623
_cell_length_b 3.623
_cell_length_c 27.232
_cell_angle_alpha 90.00
_cell_angle_beta 90.00
_cell_angle_gamma 120.00
loop_
_symmetry_equiv_pos_as_xyz
'x,y,z'
loop_
_atom_site_label
_atom_site_type_symbol
_atom_site_fract_x
_atom_site_fract_y
_atom_site_fract_z
_atom_site_occupancy
La1 La 0.000 0.000 0.000 1
La2 La 0.000 0.000 0.212 1
La3 La 0.333 0.667 0.332 1
La4 La 0.333 0.667 0.546 1
Sm1 Sm 0.000 0.000 0.661 1
Sm2 Sm 0.000 0.000 0.867 1
Tm1 Tm 0.000 0.000 0.438 1
Tm2 Tm 0.333 0.667 0.105 1
Tm3 Tm 0.333 0.667 0.765 1

***

Version B
# La4Sm2Tm3 PBE-GGA optimized geometry
# Total moment, μB per atom: 0.000
data_La4Sm2Tm3
_chemical_formula_sum 'La4 Sm2 Tm3'
_symmetry_space_group_name_H-M 'P 1'
_symmetry_Int_Tables_number 1
_cell_length_a 3.672
_cell_length_b 8.879
_cell_length_c 9.736
_cell_angle_alpha 100.97
_cell_angle_beta 91.57
_cell_angle_gamma 90.04
loop_
_symmetry_equiv_pos_as_xyz
'x,y,z'
loop_
_atom_site_label
_atom_site_type_symbol
_atom_site_fract_x
_atom_site_fract_y
_atom_site_fract_z
_atom_site_occupancy
La1 La 0.219 0.366 0.096 1
La2 La 0.243 0.857 0.615 1
La3 La 0.757 0.143 0.385 1
La4 La 0.781 0.634 0.904 1
Sm1 Sm 0.212 0.800 0.225 1
Sm2 Sm 0.788 0.200 0.775 1
Tm1 Tm 0.264 0.443 0.620 1
Tm2 Tm 0.500 0.000 0.000 1
Tm3 Tm 0.736 0.557 0.380 1

***

The structure with the greatest stability is version A.

***

Version A
# La7SmTm3 PBE-GGA optimized geometry
# Total moment, μB per atom: 0.000
data_La7SmTm3
_chemical_formula_sum 'La14 Sm2 Tm6'
_symmetry_space_group_name_H-M 'P 1'
_symmetry_Int_Tables_number 1
_cell_length_a 7.061
_cell_length_b 11.420
_cell_length_c 10.307
_cell_angle_alpha 90.00
_cell_angle_beta 109.42
_cell_angle_gamma 90.00
loop_
_symmetry_equiv_pos_as_xyz
'x,y,z'
loop_
_atom_site_label
_atom_site_type_symbol
_atom_site_fract_x
_atom_site_fract_y
_atom_site_fract_z
_atom_site_occupancy
La1 La 0.081 0.019 0.168 1
La2 La 0.081 0.481 0.168 1
La3 La 0.138 0.750 0.315 1
La4 La 0.205 0.250 0.405 1
La5 La 0.330 0.750 0.678 1
La6 La 0.406 0.049 0.819 1
La7 La 0.406 0.451 0.819 1
La8 La 0.594 0.549 0.181 1
La9 La 0.594 0.951 0.181 1
La10 La 0.670 0.250 0.322 1
La11 La 0.795 0.750 0.595 1
La12 La 0.862 0.250 0.685 1
La13 La 0.919 0.519 0.832 1
La14 La 0.919 0.981 0.832 1
Sm1 Sm 0.500 0.000 0.500 1
Sm2 Sm 0.500 0.500 0.500 1
Tm1 Tm 0.000 0.000 0.500 1
Tm2 Tm 0.000 0.500 0.500 1
Tm3 Tm 0.233 0.750 0.985 1
Tm4 Tm 0.263 0.250 0.028 1
Tm5 Tm 0.737 0.750 0.972 1
Tm6 Tm 0.767 0.250 0.015 1

***

Version B
# La7SmTm3 PBE-GGA optimized geometry
# Total moment, μB per atom: 0.000
data_La7SmTm3
_chemical_formula_sum 'La7 Sm1 Tm3'
_symmetry_space_group_name_H-M 'P 1'
_symmetry_Int_Tables_number 1
_cell_length_a 7.284
_cell_length_b 7.284
_cell_length_c 8.636
_cell_angle_alpha 90.00
_cell_angle_beta 90.00
_cell_angle_gamma 120.00
loop_
_symmetry_equiv_pos_as_xyz
'x,y,z'
loop_
_atom_site_label
_atom_site_type_symbol
_atom_site_fract_x
_atom_site_fract_y
_atom_site_fract_z
_atom_site_occupancy
La1 La 0.000 0.000 0.000 1
La2 La 0.004 0.502 0.967 1
La3 La 0.169 0.338 0.335 1
La4 La 0.169 0.831 0.335 1
La5 La 0.498 0.502 0.967 1
La6 La 0.498 0.996 0.967 1
La7 La 0.662 0.831 0.335 1
Sm1 Sm 0.667 0.333 0.308 1
Tm1 Tm 0.334 0.167 0.650 1
Tm2 Tm 0.833 0.167 0.650 1
Tm3 Tm 0.833 0.666 0.650 1

***

The structure with the greatest stability is version A.

***

Version A
# LaSm2Tm4 PBE-GGA optimized geometry
# Total moment, μB per atom: 0.000
data_LaSm2Tm4
_chemical_formula_sum 'La2 Sm4 Tm8'
_symmetry_space_group_name_H-M 'P 1'
_symmetry_Int_Tables_number 1
_cell_length_a 7.079
_cell_length_b 8.616
_cell_length_c 8.817
_cell_angle_alpha 114.32
_cell_angle_beta 101.65
_cell_angle_gamma 102.00
loop_
_symmetry_equiv_pos_as_xyz
'x,y,z'
loop_
_atom_site_label
_atom_site_type_symbol
_atom_site_fract_x
_atom_site_fract_y
_atom_site_fract_z
_atom_site_occupancy
La1 La 0.000 0.000 0.000 1
La2 La 0.301 0.661 0.547 1
Sm1 Sm 0.213 0.133 0.706 1
Sm2 Sm 0.526 0.824 0.266 1
Sm3 Sm 0.804 0.666 0.539 1
Sm4 Sm 0.879 0.400 0.127 1
Tm1 Tm 0.028 0.825 0.276 1
Tm2 Tm 0.105 0.555 0.871 1
Tm3 Tm 0.387 0.405 0.136 1
Tm4 Tm 0.416 0.229 0.412 1
Tm5 Tm 0.500 0.002 0.998 1
Tm6 Tm 0.608 0.556 0.868 1
Tm7 Tm 0.704 0.119 0.698 1
Tm8 Tm 0.910 0.231 0.413 1

***

Version B
# LaSm2Tm4 PBE-GGA optimized geometry
# Total moment, μB per atom: 0.000
data_LaSm2Tm4
_chemical_formula_sum 'La2 Sm4 Tm8'
_symmetry_space_group_name_H-M 'P 1'
_symmetry_Int_Tables_number 1
_cell_length_a 6.163
_cell_length_b 7.995
_cell_length_c 9.429
_cell_angle_alpha 85.13
_cell_angle_beta 77.66
_cell_angle_gamma 82.40
loop_
_symmetry_equiv_pos_as_xyz
'x,y,z'
loop_
_atom_site_label
_atom_site_type_symbol
_atom_site_fract_x
_atom_site_fract_y
_atom_site_fract_z
_atom_site_occupancy
La1 La 0.000 0.000 0.000 1
La2 La 0.357 0.286 0.785 1
Sm1 Sm 0.214 0.570 0.073 1
Sm2 Sm 0.289 0.431 0.425 1
Sm3 Sm 0.501 0.001 0.497 1
Sm4 Sm 0.718 0.572 0.569 1
Tm1 Tm 0.073 0.858 0.357 1
Tm2 Tm 0.144 0.718 0.712 1
Tm3 Tm 0.426 0.143 0.145 1
Tm4 Tm 0.573 0.853 0.856 1
Tm5 Tm 0.642 0.715 0.213 1
Tm6 Tm 0.786 0.434 0.930 1
Tm7 Tm 0.858 0.286 0.285 1
Tm8 Tm 0.930 0.141 0.638 1

***

The structure with the greatest stability is version B.

***

Version A
# La4Sm2Tm5 PBE-GGA optimized geometry
# Total moment, μB per atom: 0.000
data_La4Sm2Tm5
_chemical_formula_sum 'La4 Sm2 Tm5'
_symmetry_space_group_name_H-M 'P 1'
_symmetry_Int_Tables_number 1
_cell_length_a 10.033
_cell_length_b 10.033
_cell_length_c 6.707
_cell_angle_alpha 90.51
_cell_angle_beta 90.51
_cell_angle_gamma 33.09
loop_
_symmetry_equiv_pos_as_xyz
'x,y,z'
loop_
_atom_site_label
_atom_site_type_symbol
_atom_site_fract_x
_atom_site_fract_y
_atom_site_fract_z
_atom_site_occupancy
La1 La 0.023 0.023 0.289 1
La2 La 0.307 0.307 0.920 1
La3 La 0.693 0.693 0.080 1
La4 La 0.977 0.977 0.711 1
Sm1 Sm 0.400 0.400 0.439 1
Sm2 Sm 0.600 0.600 0.561 1
Tm1 Tm 0.131 0.131 0.880 1
Tm2 Tm 0.210 0.210 0.403 1
Tm3 Tm 0.500 0.500 0.000 1
Tm4 Tm 0.790 0.790 0.597 1
Tm5 Tm 0.869 0.869 0.120 1

***

Version B
# La4Sm2Tm5 PBE-GGA optimized geometry
# Total moment, μB per atom: 0.000
data_La4Sm2Tm5
_chemical_formula_sum 'La4 Sm2 Tm5'
_symmetry_space_group_name_H-M 'P 1'
_symmetry_Int_Tables_number 1
_cell_length_a 12.311
_cell_length_b 12.311
_cell_length_c 8.701
_cell_angle_alpha 93.86
_cell_angle_beta 93.86
_cell_angle_gamma 16.48
loop_
_symmetry_equiv_pos_as_xyz
'x,y,z'
loop_
_atom_site_label
_atom_site_type_symbol
_atom_site_fract_x
_atom_site_fract_y
_atom_site_fract_z
_atom_site_occupancy
La1 La 0.040 0.040 0.340 1
La2 La 0.409 0.409 0.302 1
La3 La 0.591 0.591 0.698 1
La4 La 0.960 0.960 0.660 1
Sm1 Sm 0.274 0.274 0.173 1
Sm2 Sm 0.726 0.726 0.827 1
Tm1 Tm 0.132 0.132 0.051 1
Tm2 Tm 0.189 0.189 0.470 1
Tm3 Tm 0.500 0.500 0.000 1
Tm4 Tm 0.811 0.811 0.530 1
Tm5 Tm 0.868 0.868 0.949 1

***

The structure with the greatest stability is version A.

***

Version A
# La2Sm5Tm2 PBE-GGA optimized geometry
# Total moment, μB per atom: 0.000
data_La2Sm5Tm2
_chemical_formula_sum 'La4 Sm10 Tm4'
_symmetry_space_group_name_H-M 'P 1'
_symmetry_Int_Tables_number 1
_cell_length_a 10.197
_cell_length_b 10.197
_cell_length_c 10.197
_cell_angle_alpha 85.19
_cell_angle_beta 107.94
_cell_angle_gamma 140.89
loop_
_symmetry_equiv_pos_as_xyz
'x,y,z'
loop_
_atom_site_label
_atom_site_type_symbol
_atom_site_fract_x
_atom_site_fract_y
_atom_site_fract_z
_atom_site_occupancy
La1 La 0.003 0.126 0.129 1
La2 La 0.003 0.374 0.377 1
La3 La 0.997 0.626 0.623 1
La4 La 0.997 0.874 0.871 1
Sm1 Sm 0.107 0.409 0.804 1
Sm2 Sm 0.107 0.802 0.198 1
Sm3 Sm 0.391 0.900 0.990 1
Sm4 Sm 0.449 0.326 0.410 1
Sm5 Sm 0.449 0.539 0.624 1
Sm6 Sm 0.604 0.302 0.196 1
Sm7 Sm 0.604 0.909 0.802 1
Sm8 Sm 0.910 0.400 0.010 1
Sm9 Sm 0.916 0.039 0.590 1
Sm10 Sm 0.916 0.826 0.376 1
Tm1 Tm 0.455 0.213 0.742 1
Tm2 Tm 0.471 0.713 0.258 1
Tm3 Tm 0.535 0.035 0.500 1
Tm4 Tm 0.535 0.535 0.000 1

***

Version B
# La2Sm5Tm2 PBE-GGA optimized geometry
# Total moment, μB per atom: 0.000
data_La2Sm5Tm2
_chemical_formula_sum 'La2 Sm5 Tm2'
_symmetry_space_group_name_H-M 'P 1'
_symmetry_Int_Tables_number 1
_cell_length_a 11.203
_cell_length_b 11.203
_cell_length_c 8.337
_cell_angle_alpha 100.10
_cell_angle_beta 100.10
_cell_angle_gamma 18.13
loop_
_symmetry_equiv_pos_as_xyz
'x,y,z'
loop_
_atom_site_label
_atom_site_type_symbol
_atom_site_fract_x
_atom_site_fract_y
_atom_site_fract_z
_atom_site_occupancy
La1 La 0.178 0.178 0.147 1
La2 La 0.822 0.822 0.853 1
Sm1 Sm 0.000 0.000 0.000 1
Sm2 Sm 0.093 0.093 0.735 1
Sm3 Sm 0.310 0.310 0.463 1
Sm4 Sm 0.690 0.690 0.537 1
Sm5 Sm 0.907 0.907 0.265 1
Tm1 Tm 0.453 0.453 0.641 1
Tm2 Tm 0.547 0.547 0.359 1

***

The structure with the greatest stability is version A.

***

Version A
# La6Sm2Tm PBE-GGA optimized geometry
# Total moment, μB per atom: 0.000
data_La6Sm2Tm
_chemical_formula_sum 'La6 Sm2 Tm1'
_symmetry_space_group_name_H-M 'P 1'
_symmetry_Int_Tables_number 1
_cell_length_a 10.195
_cell_length_b 10.195
_cell_length_c 3.704
_cell_angle_alpha 90.00
_cell_angle_beta 90.00
_cell_angle_gamma 124.12
loop_
_symmetry_equiv_pos_as_xyz
'x,y,z'
loop_
_atom_site_label
_atom_site_type_symbol
_atom_site_fract_x
_atom_site_fract_y
_atom_site_fract_z
_atom_site_occupancy
La1 La 0.007 0.336 0.000 1
La2 La 0.181 0.181 0.500 1
La3 La 0.336 0.007 0.000 1
La4 La 0.664 0.993 0.000 1
La5 La 0.819 0.819 0.500 1
La6 La 0.993 0.664 0.000 1
Sm1 Sm 0.329 0.671 0.500 1
Sm2 Sm 0.671 0.329 0.500 1
Tm1 Tm 0.500 0.500 0.000 1

***

Version B
# La6Sm2Tm PBE-GGA optimized geometry
# Total moment, μB per atom: 0.000
data_La6Sm2Tm
_chemical_formula_sum 'La6 Sm2 Tm1'
_symmetry_space_group_name_H-M 'P 1'
_symmetry_Int_Tables_number 1
_cell_length_a 3.666
_cell_length_b 3.666
_cell_length_c 27.644
_cell_angle_alpha 90.00
_cell_angle_beta 90.00
_cell_angle_gamma 120.00
loop_
_symmetry_equiv_pos_as_xyz
'x,y,z'
loop_
_atom_site_label
_atom_site_type_symbol
_atom_site_fract_x
_atom_site_fract_y
_atom_site_fract_z
_atom_site_occupancy
La1 La 0.000 0.000 0.064 1
La2 La 0.000 0.000 0.281 1
La3 La 0.000 0.000 0.719 1
La4 La 0.000 0.000 0.936 1
La5 La 0.333 0.667 0.396 1
La6 La 0.333 0.667 0.604 1
Sm1 Sm 0.333 0.667 0.171 1
Sm2 Sm 0.333 0.667 0.829 1
Tm1 Tm 0.000 0.000 0.500 1

***

The structure with the greatest stability is version B.